# PBE+U BaY4Mn3O12, optimized geometry
# - Fermi-level density of states: 22.1 states/eV per cell
# - Magnetization: 13.194 μB/f.u.
# - E: -8.039 eV per atom
data_BaY4Mn3O12
_chemical_formula_sum 'Ba2 Y8 Mn6 O24'
_space_group_name_H-M_alt 'I m -3'
_space_group_IT_number 204
_space_group_name_Hall '-I 2 2 3'
_cell_length_a 8.254
_cell_length_b 8.254
_cell_length_c 8.254
_cell_angle_alpha 90.00
_cell_angle_beta 90.00
_cell_angle_gamma 90.00
loop_
_atom_site_label
_atom_site_type_symbol
_atom_site_fract_x
_atom_site_fract_y
_atom_site_fract_z
Ba1 Ba 0.000 0.000 0.000
Y1 Y 0.250 0.250 0.250
Mn1 Mn 0.000 0.000 0.500
O1 O 0.000 0.158 0.325